Entry from Alexandria: a geometry-optimized KBaMo2 structure (PBE).

Summary:
* polymorph energy (0 for the lowest one): 0.777 eV per atom
* magnetization: 0.00 Bohr magnetons per cell
* space-group type: C2/m (12)
* final energy: -0.33956 Ry/atom
* formation enthalpy at 0 K: 598 kJ/mol of formula units

Unit cell a=6.5593 b=6.5593 c=2.8886 alpha=85.30 beta=85.30 gamma=128.34
Element x y z (fractional)
1 Mo 0.5000 0.5000 0.0000
2 Mo 0.0000 0.0000 0.0000
3 Ba 0.5000 0.0000 0.5000
4 K 0.0000 0.5000 0.5000